[1]
## Ir2WBr (PBE)

Data for an optimized crystal structure of Ir2WBr.

Properties
symmetry	C2/m (12)
raw total energy	-7.3757	eV/atom
total moment	0.00	Bohr magnetons per cell
raw formation energy	0.711	eV/atom
relative energy among the computed polymorphs	459	meV per atom

Cell lengths 5.064, 5.064, 4.635 Å; angles 93.37, 93.37, 32.95 degrees
Sites, in units of the cell vectors:
Ir (0.227, 0.227, 0.233)
Ir (0.773, 0.773, 0.767)
W (0.500, 0.500, 0.000)
Br (0.000, 0.000, 0.500)

[2]
## KNaHgBr4 (PBE)

Data for an optimized crystal structure of KNaHgBr4.

Properties
symmetry	P2_1/m (11)
raw total energy	-2.4556	eV/atom
total moment	0.00	Bohr magnetons per cell
raw formation energy	-1.111	eV/atom

Cell lengths 7.499, 7.731, 8.902 Å; angles 90.00, 105.99, 90.00 degrees
Sites, in units of the cell vectors:
K (0.217, 0.250, 0.048)
K (0.783, 0.750, 0.952)
Na (0.219, 0.250, 0.563)
Na (0.781, 0.750, 0.437)
Hg (0.248, 0.750, 0.330)
Hg (0.752, 0.250, 0.670)
Br (0.007, 0.506, 0.729)
Br (0.007, 0.994, 0.729)
Br (0.455, 0.750, 0.131)
Br (0.491, 0.750, 0.606)
Br (0.509, 0.250, 0.394)
Br (0.545, 0.250, 0.869)
Br (0.993, 0.006, 0.271)
Br (0.993, 0.494, 0.271)

[3]
## Nd8Ho3Pu (PBE)

Data for an optimized crystal structure of Nd8Ho3Pu.

Properties
symmetry	C2/m (12)
raw total energy	-5.3807	eV/atom
total moment	6.80	Bohr magnetons per cell
formation enthalpy at 0 K	0.137	eV/atom

Cell lengths 6.939, 6.939, 9.850 Å; angles 97.16, 97.16, 119.03 degrees
Sites, in units of the cell vectors:
Nd (0.173, 0.692, 0.665)
Nd (0.181, 0.181, 0.161)
Nd (0.308, 0.827, 0.335)
Nd (0.322, 0.322, 0.824)
Nd (0.678, 0.678, 0.176)
Nd (0.692, 0.173, 0.665)
Nd (0.819, 0.819, 0.839)
Nd (0.827, 0.308, 0.335)
Ho (0.000, 0.500, 0.000)
Ho (0.500, 0.000, 0.000)
Ho (0.500, 0.500, 0.500)
Pu (0.000, 0.000, 0.500)

[4]
## Sr2Tl5Ag3 (PBE)

Data for an optimized crystal structure of Sr2Tl5Ag3.

Properties
symmetry	Cmc2_1 (36)
raw total energy	-2.5606	eV/atom
total moment	0.00	Bohr magnetons per cell
formation enthalpy at 0 K	-0.186	eV/atom
relative energy among the computed polymorphs	0	meV per atom

Cell lengths 14.342, 14.342, 7.946 Å; angles 90.00, 90.00, 160.16 degrees
Sites, in units of the cell vectors:
Sr (0.019, 0.981, 0.500)
Sr (0.324, 0.676, 0.550)
Sr (0.676, 0.324, 0.050)
Sr (0.981, 0.019, 0.000)
Tl (0.100, 0.900, 0.846)
Tl (0.204, 0.796, 0.357)
Tl (0.208, 0.792, 0.761)
Tl (0.376, 0.624, 0.023)
Tl (0.446, 0.554, 0.680)
Tl (0.554, 0.446, 0.180)
Tl (0.624, 0.376, 0.523)
Tl (0.792, 0.208, 0.261)
Tl (0.796, 0.204, 0.857)
Tl (0.900, 0.100, 0.346)
Ag (0.108, 0.892, 0.227)
Ag (0.271, 0.729, 0.064)
Ag (0.454, 0.546, 0.294)
Ag (0.546, 0.454, 0.794)
Ag (0.729, 0.271, 0.564)
Ag (0.892, 0.108, 0.727)

[5]
## Ag2SnSb (PBE)

Data for an optimized crystal structure of Ag2SnSb.

Properties
symmetry	R3m (160)
raw total energy	-3.3275	eV/atom
total moment	0.00	Bohr magnetons per cell
raw formation energy	0.129	eV/atom

Cell lengths 6.392, 6.392, 6.392 Å; angles 40.40, 40.40, 40.40 degrees
Sites, in units of the cell vectors:
Ag (0.000, 0.000, 0.000)
Ag (0.168, 0.168, 0.168)
Sn (0.588, 0.588, 0.588)
Sb (0.414, 0.414, 0.414)

[6]
## U2H5 (PBE)

Data for an optimized crystal structure of U2H5.

Properties
symmetry	Ibam (72)
raw total energy	-5.8376	eV/atom
total moment	11.24	Bohr magnetons per cell

Cell lengths 6.585, 6.585, 6.585 Å; angles 129.58, 65.63, 140.84 degrees
Sites, in units of the cell vectors:
U (0.123, 0.241, 0.364)
U (0.377, 0.741, 0.118)
U (0.623, 0.259, 0.882)
U (0.877, 0.759, 0.636)
H (0.005, 0.750, 0.255)
H (0.078, 0.846, 0.924)
H (0.250, 0.750, 0.500)
H (0.422, 0.346, 0.768)
H (0.495, 0.750, 0.745)
H (0.505, 0.250, 0.255)
H (0.578, 0.654, 0.232)
H (0.750, 0.250, 0.500)
H (0.922, 0.154, 0.076)
H (0.995, 0.250, 0.745)

[7]
## Tb2NpUAs4 (PBE)

Data for an optimized crystal structure of Tb2NpUAs4.

Properties
symmetry	P2/m (10)
raw total energy	-7.6368	eV/atom
total moment	6.20	Bohr magnetons per cell
formation enthalpy at 0 K	-1.126	eV/atom

Cell lengths 7.082, 4.094, 7.186 Å; angles 90.00, 109.21, 90.00 degrees
Sites, in units of the cell vectors:
Tb (0.000, 0.000, 0.000)
Tb (0.500, 0.500, 0.000)
Np (0.000, 0.500, 0.500)
U (0.500, 0.000, 0.500)
As (0.250, 0.000, 0.746)
As (0.253, 0.500, 0.253)
As (0.747, 0.500, 0.747)
As (0.750, 0.000, 0.254)

[8]
## K3NdNp2O9 (PBE)

Data for an optimized crystal structure of K3NdNp2O9.

Properties
symmetry	P-3m1 (164)
raw total energy	-7.9228	eV/atom
total moment	2.00	Bohr magnetons per cell
raw formation energy	-2.685	eV/atom

Cell lengths 6.155, 6.155, 7.554 Å; angles 90.00, 90.00, 120.00 degrees
Sites, in units of the cell vectors:
K (0.000, 0.000, 0.000)
K (0.333, 0.667, 0.666)
K (0.667, 0.333, 0.334)
Nd (0.000, 0.000, 0.500)
Np (0.333, 0.667, 0.162)
Np (0.667, 0.333, 0.838)
O (0.000, 0.500, 0.000)
O (0.178, 0.356, 0.316)
O (0.178, 0.822, 0.316)
O (0.356, 0.178, 0.684)
O (0.500, 0.000, 0.000)
O (0.500, 0.500, 0.000)
O (0.644, 0.822, 0.316)
O (0.822, 0.178, 0.684)
O (0.822, 0.644, 0.684)

[9]
## CaNiOsC2 (PBE)

Data for an optimized crystal structure of CaNiOsC2.

Properties
symmetry	P4/mmm (123)
raw total energy	-5.6508	eV/atom
total moment	1.69	Bohr magnetons per cell
formation enthalpy at 0 K	1.841	eV/atom
relative energy among the computed polymorphs	0	meV per atom

Cell lengths 3.872, 3.872, 4.831 Å; angles 90.00, 90.00, 90.00 degrees
Sites, in units of the cell vectors:
Ca (0.000, 0.000, 0.000)
Ni (0.500, 0.500, 0.500)
Os (0.500, 0.500, 0.000)
C (0.000, 0.500, 0.500)
C (0.500, 0.000, 0.500)

[10]
## Hf2UMnC4 (PBE)

Data for an optimized crystal structure of Hf2UMnC4.

Properties
symmetry	Cmcm (63)
raw total energy	-10.0582	eV/atom
total moment	3.89	Bohr magnetons per cell
formation enthalpy at 0 K	-0.401	eV/atom

Cell lengths 5.824, 5.824, 11.041 Å; angles 90.00, 90.00, 147.39 degrees
Sites, in units of the cell vectors:
Hf (0.131, 0.869, 0.546)
Hf (0.131, 0.869, 0.954)
Hf (0.869, 0.131, 0.046)
Hf (0.869, 0.131, 0.454)
U (0.399, 0.601, 0.750)
U (0.601, 0.399, 0.250)
Mn (0.341, 0.659, 0.250)
Mn (0.659, 0.341, 0.750)
C (0.064, 0.936, 0.750)
C (0.232, 0.768, 0.127)
C (0.232, 0.768, 0.373)
C (0.500, 0.500, 0.000)
C (0.500, 0.500, 0.500)
C (0.768, 0.232, 0.627)
C (0.768, 0.232, 0.873)
C (0.936, 0.064, 0.250)

[11]
## V4Re2Rh (PBE)

Data for an optimized crystal structure of V4Re2Rh.

Properties
symmetry	I4/mmm (139)
raw total energy	-8.7191	eV/atom
total moment	0.72	Bohr magnetons per cell
formation enthalpy at 0 K	1.098	eV/atom

Cell lengths 6.974, 6.974, 6.974 Å; angles 142.84, 142.84, 53.57 degrees
Sites, in units of the cell vectors:
V (0.000, 0.500, 0.500)
V (0.198, 0.198, 0.000)
V (0.500, 0.000, 0.500)
V (0.802, 0.802, 0.000)
Re (0.383, 0.383, 0.000)
Re (0.617, 0.617, 0.000)
Rh (0.000, 0.000, 0.000)

[12]
## YGaGe3 (PBE)

Data for an optimized crystal structure of YGaGe3.

Properties
symmetry	Pm-3m (221)
raw total energy	-4.0196	eV/atom
total moment	0.00	Bohr magnetons per cell
formation enthalpy at 0 K	0.649	eV/atom
relative energy among the computed polymorphs	425	meV per atom

Cell lengths 5.420, 5.420, 5.420 Å; angles 90.00, 90.00, 90.00 degrees
Sites, in units of the cell vectors:
Y (0.000, 0.000, 0.000)
Ga (0.500, 0.500, 0.500)
Ge (0.000, 0.000, 0.500)
Ge (0.000, 0.500, 0.000)
Ge (0.500, 0.000, 0.000)

[13]
## La2BiSbP (PBE)

Data for an optimized crystal structure of La2BiSbP.

Properties
symmetry	P4/mmm (123)
raw total energy	-4.6106	eV/atom
total moment	0.00	Bohr magnetons per cell
raw formation energy	0.043	eV/atom

Cell lengths 6.164, 6.164, 5.019 Å; angles 90.00, 90.00, 90.00 degrees
Sites, in units of the cell vectors:
La (0.000, 0.500, 0.000)
La (0.500, 0.000, 0.000)
Bi (0.000, 0.000, 0.000)
Sb (0.500, 0.500, 0.500)
P (0.000, 0.000, 0.500)

[14]
## BiPt3Pb5 (PBE)

Data for an optimized crystal structure of BiPt3Pb5.

Properties
symmetry	C2/m (12)
raw total energy	-4.5980	eV/atom
total moment	0.00	Bohr magnetons per cell
formation enthalpy at 0 K	-0.093	eV/atom

Cell lengths 7.717, 7.717, 10.162 Å; angles 109.35, 109.35, 73.83 degrees
Sites, in units of the cell vectors:
Bi (0.100, 0.100, 0.302)
Bi (0.900, 0.900, 0.698)
Pt (0.000, 0.000, 0.000)
Pt (0.000, 0.000, 0.500)
Pt (0.332, 0.332, 0.835)
Pt (0.337, 0.337, 0.341)
Pt (0.663, 0.663, 0.659)
Pt (0.668, 0.668, 0.165)
Pb (0.043, 0.636, 0.321)
Pb (0.238, 0.238, 0.037)
Pb (0.296, 0.704, 0.000)
Pb (0.364, 0.957, 0.679)
Pb (0.431, 0.431, 0.639)
Pb (0.569, 0.569, 0.361)
Pb (0.636, 0.043, 0.321)
Pb (0.704, 0.296, 0.000)
Pb (0.762, 0.762, 0.963)
Pb (0.957, 0.364, 0.679)

[15]
## LaHfO2F (PBE)

Data for an optimized crystal structure of LaHfO2F.

Properties
symmetry	P4/mmm (123)
raw total energy	-8.0629	eV/atom
total moment	0.74	Bohr magnetons per cell
raw formation energy	-2.729	eV/atom

Cell lengths 4.187, 4.187, 4.216 Å; angles 90.00, 90.00, 90.00 degrees
Sites, in units of the cell vectors:
La (0.000, 0.000, 0.000)
Hf (0.500, 0.500, 0.500)
O (0.000, 0.500, 0.500)
O (0.500, 0.000, 0.500)
F (0.500, 0.500, 0.000)

[16]
## Sr2LiSnHg6 (PBE)

Data for an optimized crystal structure of Sr2LiSnHg6.

Properties
symmetry	P-1 (2)
raw total energy	-1.4459	eV/atom
total moment	0.00	Bohr magnetons per cell
formation enthalpy at 0 K	-0.337	eV/atom

Cell lengths 5.640, 6.284, 8.325 Å; angles 94.96, 106.79, 101.11 degrees
Sites, in units of the cell vectors:
Sr (0.047, 0.308, 0.187)
Sr (0.953, 0.692, 0.813)
Li (0.500, 0.000, 0.500)
Sn (0.500, 0.500, 0.000)
Hg (0.038, 0.171, 0.662)
Hg (0.341, 0.592, 0.593)
Hg (0.438, 0.942, 0.163)
Hg (0.562, 0.058, 0.837)
Hg (0.659, 0.408, 0.407)
Hg (0.962, 0.829, 0.338)

[17]
## InAgTe2 (PBE)

Data for an optimized crystal structure of InAgTe2.

Properties
symmetry	P4mm (99)
raw total energy	-2.8693	eV/atom
total moment	0.00	Bohr magnetons per cell
raw formation energy	0.099	eV/atom

Cell lengths 3.241, 3.241, 10.546 Å; angles 90.00, 90.00, 90.00 degrees
Sites, in units of the cell vectors:
In (0.000, 0.000, 0.000)
Ag (0.500, 0.500, 0.803)
Te (0.000, 0.000, 0.599)
Te (0.500, 0.500, 0.250)

[18]
## Li2AlSi (PBE)

Data for an optimized crystal structure of Li2AlSi.

Properties
symmetry	P6_3/mmc (194)
raw total energy	-3.3919	eV/atom
total moment	0.00	Bohr magnetons per cell
raw formation energy	-0.144	eV/atom

Cell lengths 4.325, 4.325, 8.182 Å; angles 90.00, 90.00, 120.00 degrees
Sites, in units of the cell vectors:
Li (0.333, 0.667, 0.073)
Li (0.333, 0.667, 0.427)
Li (0.667, 0.333, 0.573)
Li (0.667, 0.333, 0.927)
Al (0.000, 0.000, 0.250)
Al (0.000, 0.000, 0.750)
Si (0.333, 0.667, 0.750)
Si (0.667, 0.333, 0.250)

[19]
## Ba4Ac2Pd (PBE)

Data for an optimized crystal structure of Ba4Ac2Pd.

Properties
symmetry	I4/mmm (139)
raw total energy	-2.8298	eV/atom
total moment	0.00	Bohr magnetons per cell
formation enthalpy at 0 K	0.185	eV/atom

Cell lengths 11.109, 11.109, 11.109 Å; angles 148.20, 148.20, 45.59 degrees
Sites, in units of the cell vectors:
Ba (0.000, 0.500, 0.500)
Ba (0.161, 0.161, 0.000)
Ba (0.500, 0.000, 0.500)
Ba (0.839, 0.839, 0.000)
Ac (0.357, 0.357, 0.000)
Ac (0.643, 0.643, 0.000)
Pd (0.000, 0.000, 0.000)

[20]
## Ca5Hg4Rh (PBE)

Data for an optimized crystal structure of Ca5Hg4Rh.

Properties
symmetry	P4/mmm (123)
raw total energy	-2.3463	eV/atom
total moment	0.00	Bohr magnetons per cell
formation enthalpy at 0 K	-0.490	eV/atom

Cell lengths 3.679, 3.679, 18.903 Å; angles 90.00, 90.00, 90.00 degrees
Sites, in units of the cell vectors:
Ca (0.000, 0.000, 0.000)
Ca (0.000, 0.000, 0.207)
Ca (0.000, 0.000, 0.415)
Ca (0.000, 0.000, 0.585)
Ca (0.000, 0.000, 0.793)
Hg (0.500, 0.500, 0.103)
Hg (0.500, 0.500, 0.312)
Hg (0.500, 0.500, 0.688)
Hg (0.500, 0.500, 0.897)
Rh (0.500, 0.500, 0.500)